Density functional theory data (GGA+U) for an optimized crystal structure of Rb2PmCrO4.

It has space group P2/m (No. 10), with a = 5.857 Å, b = 3.434 Å, c = 6.784 Å, α = 90.00°, β = 107.17° and γ = 90.00°. The asymmetric unit holds Rb at (0.000, 0.000, 0.000), Rb at (0.500, 0.500, 0.000), Pm at (0.000, 0.500, 0.500), Cr at (0.500, 0.000, 0.500), O at (0.254, 0.000, 0.674) and O at (0.301, 0.500, 0.331).

The calculation puts the uncorrected energy at -6.28 eV/atom.